Record 1
LiMg | SCAN | PBEsol geometry

POSCAR file:
```
LiMg
1.0
4.2049 0.0000 0.0000
0.0000 4.2049 0.0000
-2.1024 -2.1024 4.5579
Li Mg
2 2
direct
0.0000 0.0000 0.0000
0.2500 0.7500 0.5000
0.5000 0.5000 0.0000
0.7500 0.2500 0.5000
```

Formation energy   -42.1 meV/atom
Spin magnetization   0.0 μB/f.u.
SG   I4_1/amd (141)

Record 2
CdBr3 | SCAN | PBEsol geometry

POSCAR file:
```
CdBr3
1.0
-3.3152 1.2825 -1.2011
0.5800 -3.6935 0.3157
-3.0921 0.2685 8.8212
Br Cd
3 1
direct
0.0000 0.0000 0.6860
0.0000 0.0000 0.3140
0.3333 0.6667 0.0000
0.3333 0.6667 0.5000
```

Spin magnetization   1.0 μB/f.u.
SG   P-6m2 (187)
ΔE_f (raw)   -36.15 kJ/mol of atoms

Record 3
Ca2Pb2W | SCAN | PBEsol geometry

POSCAR file:
```
Ca2Pb2W
1.0
-1.9551 -0.8080 -3.5995
-1.2540 -3.6856 1.5084
-5.6268 5.9724 4.1372
W Pb Ca
1 2 2
direct
0.0000 0.0000 0.0000
0.7500 0.2500 0.5000
0.2500 0.7500 0.5000
0.4055 0.4055 0.8109
0.5945 0.5945 0.1891
```

Formation energy   843.0 meV/atom
Spin magnetization   3.8 μB/f.u.
SG   I4/mmm (139)

Record 4
Ag2AuSe | SCAN | PBEsol geometry

POSCAR file:
```
Ag2AuSe
1.0
4.0656 0.0000 0.0000
0.0000 4.0656 0.0000
-2.0328 -2.0328 4.2429
Ag Au Se
2 1 1
direct
0.0000 0.0000 0.0000
0.7500 0.2500 0.5000
0.5000 0.5000 0.0000
0.2500 0.7500 0.5000
```

Spin magnetization   0.0 μB/f.u.
SG   I-4m2 (119)
ΔE_f (raw)   8.65 kJ/mol of atoms

Look up the spin magnetization of the second one. 1.0 μB/f.u.

Copy entry 1 word for word.
LiMg | SCAN | PBEsol geometry

POSCAR file:
```
LiMg
1.0
4.2049 0.0000 0.0000
0.0000 4.2049 0.0000
-2.1024 -2.1024 4.5579
Li Mg
2 2
direct
0.0000 0.0000 0.0000
0.2500 0.7500 0.5000
0.5000 0.5000 0.0000
0.7500 0.2500 0.5000
```

Formation energy   -42.1 meV/atom
Spin magnetization   0.0 μB/f.u.
SG   I4_1/amd (141)